Entry 1:
Compound: La12Sm5Sn3
Source: Alexandria via LeMat-Bulk
Functional: PBE
Structure: optimized geometry

Output
* M_tot: 3.7 μB per cell
* symmetry: Ia-3d (230)
* ρ: 6.149 g/cm3
* energy: -4.29 eV/atom
* ΔE_f: 0.45 eV/atom

Cell: 15.7319 15.7319 15.7319 Å, 109.47 109.47 109.47°
Last column: magnetic moment on the atom in μB.
Atoms (fractional coordinates):
Sm: 0.2500 0.3750 0.6250  -0.01
Sm: 0.3750 0.1250 0.7500  -0.01
Sm: 0.6250 0.7500 0.8750  -0.01
Sm: 0.8750 0.2500 0.6250  -0.01
Sm: 0.5000 0.5000 0.0000  0.14
Sm: 0.5000 0.0000 0.5000  0.14
Sm: 0.0000 0.0000 0.5000  0.14
Sm: 0.1250 0.3750 0.2500  -0.01
Sm: 0.5000 0.0000 0.0000  0.14
Sm: 0.5000 0.5000 0.5000  0.14
Sm: 0.0000 0.5000 0.0000  0.14
Sm: 0.2500 0.8750 0.1250  -0.01
Sm: 0.1250 0.7500 0.3750  -0.01
Sm: 0.3750 0.2500 0.1250  -0.01
Sm: 0.8750 0.6250 0.7500  -0.01
Sm: 0.0000 0.0000 0.0000  0.14
Sm: 0.7500 0.6250 0.3750  -0.01
Sm: 0.7500 0.1250 0.8750  -0.01
Sm: 0.6250 0.8750 0.2500  -0.01
Sm: 0.0000 0.5000 0.5000  0.14
La: 0.0868 0.9056 0.1414  0.03
La: 0.8586 0.5944 0.9132  0.03
La: 0.9132 0.8188 0.5546  0.03
La: 0.3586 0.9454 0.7642  0.03
La: 0.6812 0.4454 0.5868  0.03
La: 0.2358 0.6812 0.0944  0.03
La: 0.6414 0.5868 0.9056  0.03
La: 0.9454 0.3586 0.2642  0.03
La: 0.0546 0.4132 0.8188  0.03
La: 0.0868 0.1812 0.4454  0.03
La: 0.5868 0.9454 0.6812  0.03
La: 0.5944 0.8586 0.4132  0.03
La: 0.0944 0.9132 0.3586  0.03
La: 0.4454 0.7642 0.8586  0.03
La: 0.0944 0.1812 0.2358  0.03
La: 0.7642 0.3188 0.9056  0.03
La: 0.7642 0.4454 0.3586  0.03
La: 0.5546 0.2358 0.1414  0.03
La: 0.0546 0.6414 0.7358  0.03
La: 0.5868 0.6414 0.4056  0.03
La: 0.9056 0.8188 0.7642  0.03
La: 0.4056 0.1414 0.5868  0.03
La: 0.8188 0.9132 0.0546  0.03
La: 0.5944 0.7358 0.6812  0.03
La: 0.2642 0.8586 0.9454  0.03
La: 0.6414 0.0546 0.2358  0.03
La: 0.2642 0.4056 0.8188  0.03
La: 0.3586 0.4132 0.0944  0.03
La: 0.9454 0.5868 0.1812  0.03
La: 0.4056 0.2642 0.3188  0.03
La: 0.6812 0.2358 0.5944  0.03
La: 0.4454 0.6812 0.0868  0.03
La: 0.4132 0.3586 0.5944  0.03
La: 0.1812 0.0868 0.9454  0.03
La: 0.2358 0.5546 0.6414  0.03
La: 0.3188 0.7642 0.4056  0.03
La: 0.8188 0.9056 0.2642  0.03
La: 0.9056 0.0868 0.6414  0.03
La: 0.5546 0.3188 0.9132  0.03
La: 0.9132 0.0944 0.8586  0.03
La: 0.8586 0.2642 0.4454  0.03
La: 0.7358 0.1414 0.0546  0.03
La: 0.1812 0.0944 0.7358  0.03
La: 0.1414 0.4056 0.0868  0.03
La: 0.4132 0.0546 0.3188  0.03
La: 0.7358 0.5944 0.1812  0.03
La: 0.3188 0.5546 0.4132  0.03
La: 0.1414 0.7358 0.5546  0.03
Sn: 0.3750 0.7500 0.6250  0.00
Sn: 0.2500 0.6250 0.8750  0.00
Sn: 0.7500 0.8750 0.6250  0.00
Sn: 0.6250 0.2500 0.3750  0.00
Sn: 0.7500 0.3750 0.1250  0.00
Sn: 0.1250 0.8750 0.7500  0.00
Sn: 0.8750 0.7500 0.1250  0.00
Sn: 0.2500 0.1250 0.3750  0.00
Sn: 0.1250 0.2500 0.8750  0.00
Sn: 0.3750 0.6250 0.2500  0.00
Sn: 0.8750 0.1250 0.2500  0.00
Sn: 0.6250 0.3750 0.7500  0.00

---

Entry 2:
Compound: La2SmSn
Source: Alexandria via LeMat-Bulk
Functional: PBE
Structure: optimized geometry

Output
* M_tot: 0.0 μB per cell
* symmetry: P4/mmm (123)
* ρ: 7.327 g/cm3
* energy: -5.12 eV/atom
* ΔE_f: -0.47 eV/atom

Cell: 5.0894 4.9347 4.9347 Å, 90.00 90.00 90.00°
Atoms (fractional coordinates):
La: 0.0000 0.0000 0.5000
La: 0.0000 0.5000 0.0000
Sm: 0.5000 0.5000 0.5000
Sn: 0.5000 0.0000 0.0000

---

Entry 3:
Compound: La2SmSn
Source: Alexandria via LeMat-Bulk
Functional: PBE
Structure: optimized geometry

Output
* M_tot: 0.0 μB per cell
* symmetry: Cmcm (63)
* ρ: 7.034 g/cm3
* energy: -4.99 eV/atom
* ΔE_f: -0.34 eV/atom

Cell: 5.8215 6.9356 7.0454 Å, 90.00 90.00 114.81°
Atoms (fractional coordinates):
Sm: 0.9215 0.8430 0.2500
Sm: 0.0785 0.1570 0.7500
La: 0.6204 0.2407 0.0264
La: 0.6204 0.2407 0.4736
La: 0.3796 0.7593 0.9736
La: 0.3796 0.7593 0.5264
Sn: 0.8317 0.6635 0.7500
Sn: 0.1683 0.3365 0.2500

---

Entry 4:
Compound: La2Sm8Sn
Source: Alexandria via LeMat-Bulk
Functional: PBE
Structure: optimized geometry

Output
* M_tot: 0.0 μB per cell
* symmetry: C2/m (12)
* ρ: 7.340 g/cm3
* energy: -4.80 eV/atom
* ΔE_f: -0.11 eV/atom

Cell: 5.0249 8.0627 9.5765 Å, 104.34 105.21 90.00°
Atoms (fractional coordinates):
Sm: 0.6768 0.9069 0.3536
Sm: 0.1353 0.1744 0.2706
Sm: 0.8647 0.8256 0.7294
Sm: 0.0422 0.7316 0.0844
Sm: 0.3232 0.0931 0.6464
Sm: 0.5879 0.4356 0.1759
Sm: 0.4121 0.5644 0.8241
Sm: 0.9578 0.2684 0.9156
Sn: 0.5000 0.0000 0.0000
La: 0.7782 0.3684 0.5565
La: 0.2218 0.6316 0.4435

---

Among the records above, which one has the highest energy? La12Sm5Sn3